[1]
Here is an optimized crystal structure of Tb3NdSmHo from Alexandria. Energies are from PBE.

The density of states at the Fermi level is 8.40 states/eV/f.u. The total magnetization comes out at 0.00 Bohr magnetons per cell. For the formation energy, the calculation gives 0.018 eV per atom. The total energy comes out at -55.695 eV/cell. Its crystal system is orthorhombic.

a b c (Å): 8.0239 8.0239 10.1394
angles (deg): 90.00 90.00 143.18
Fractional coordinates of all 12 atoms:
Tb 0.1680 0.8320 0.9998
Tb 0.1680 0.8320 0.5002
Tb 0.3321 0.6679 0.7500
Tb 0.6679 0.3321 0.2500
Tb 0.8320 0.1680 0.0002
Tb 0.8320 0.1680 0.4998
Nd 0.5000 0.5000 0.0000
Nd 0.5000 0.5000 0.5000
Sm 0.9998 0.0002 0.2500
Sm 0.0002 0.9998 0.7500
Ho 0.3321 0.6679 0.2500
Ho 0.6679 0.3321 0.7500

=====

[2]
Here is an optimized crystal structure of TbNdSmHo2 from Alexandria. Energies are from PBE.

The density of states at the Fermi level is 8.02 states/eV/f.u. The total magnetization comes out at 0.01 Bohr magnetons per cell. For the formation energy, the calculation gives 0.380 eV per atom. The total energy comes out at -42.745 eV/cell. Its crystal system is orthorhombic.

a b c (Å): 7.1460 7.1460 7.1738
angles (deg): 90.00 90.00 107.77
Fractional coordinates of all 10 atoms:
Tb 0.2236 0.7764 0.7500
Tb 0.7764 0.2236 0.2500
Nd 0.2282 0.7718 0.2500
Nd 0.7718 0.2282 0.7500
Sm 0.4987 0.5013 0.2500
Sm 0.5013 0.4987 0.7500
Ho 0.1876 0.1876 0.0000
Ho 0.1876 0.1876 0.5000
Ho 0.8124 0.8124 0.0000
Ho 0.8124 0.8124 0.5000

=====

[3]
Here is an optimized crystal structure of Tb3Nd2SmHo6 from Alexandria. Energies are from PBE.

The density of states at the Fermi level is 15.05 states/eV/f.u. The total magnetization comes out at 0.00 Bohr magnetons per cell. For the formation energy, the calculation gives 0.016 eV per atom. The total energy comes out at -55.416 eV/cell. Its crystal system is monoclinic.

a b c (Å): 6.1838 6.1838 11.7840
angles (deg): 95.00 95.00 119.97
Fractional coordinates of all 12 atoms:
Tb 0.0000 0.0000 0.0000
Tb 0.3334 0.6666 0.0000
Tb 0.6666 0.3334 0.0000
Nd 0.1667 0.8333 0.5000
Nd 0.8333 0.1667 0.5000
Sm 0.5000 0.5000 0.5000
Ho 0.0822 0.4154 0.2474
Ho 0.2516 0.2516 0.7526
Ho 0.4154 0.0822 0.2474
Ho 0.5846 0.9178 0.7526
Ho 0.7484 0.7484 0.2474
Ho 0.9178 0.5846 0.7526

=====

[4]
Here is an optimized crystal structure of TbNd2Sm4Ho from Alexandria. Energies are from PBE.

The density of states at the Fermi level is 17.58 states/eV/f.u. The total magnetization comes out at 0.00 Bohr magnetons per cell. For the formation energy, the calculation gives 0.395 eV per atom. The total energy comes out at -68.925 eV/cell. Its crystal system is monoclinic.

a b c (Å): 9.5666 9.5666 6.8916
angles (deg): 110.97 110.97 87.89
Fractional coordinates of all 16 atoms:
Tb 0.0000 0.0000 0.0000
Tb 0.0000 0.0000 0.5000
Nd 0.0000 0.5000 0.0000
Nd 0.5000 0.0000 0.5000
Nd 0.5000 0.5000 0.0000
Nd 0.5000 0.5000 0.5000
Sm 0.2354 0.7408 0.9870
Sm 0.2452 0.2508 0.4524
Sm 0.2508 0.2452 0.9524
Sm 0.2592 0.7646 0.5130
Sm 0.7408 0.2354 0.4870
Sm 0.7492 0.7548 0.0476
Sm 0.7548 0.7492 0.5476
Sm 0.7646 0.2592 0.0130
Ho 0.0000 0.5000 0.5000
Ho 0.5000 0.0000 0.0000